1.
Computed, not measured: an optimized crystal structure of CaTe2Se at the PBEsol level of DFT.

```
data_CaTe2Se
_cell_length_a 3.9609
_cell_length_b 3.9609
_cell_length_c 9.8719
_cell_angle_alpha 78.43
_cell_angle_beta 78.43
_cell_angle_gamma 60.00
_space_group_name_H-M_alt 'P 1'
_space_group_IT_number 1
_space_group_name_Hall 'P 1'
loop_
_atom_site_label
_atom_site_type_symbol
_atom_site_fract_x
_atom_site_fract_y
_atom_site_fract_z
Te1 Te 0.1049 0.1049 0.6854
Ca1 Ca 0.0000 0.0000 0.0000
Se1 Se 0.5000 0.5000 0.5000
Te2 Te 0.8951 0.8951 0.3146
```

Results
The value obtained for the raw total energy is -3.23 eV/atom.

***

2.
Computed, not measured: an optimized crystal structure of Ba2Ag at the PBEsol level of DFT.

```
data_Ba2Ag
_cell_length_a 4.0119
_cell_length_b 4.0119
_cell_length_c 15.6829
_cell_angle_alpha 97.35
_cell_angle_beta 97.35
_cell_angle_gamma 90.00
_space_group_name_H-M_alt 'P 1'
_space_group_IT_number 1
_space_group_name_Hall 'P 1'
loop_
_atom_site_label
_atom_site_type_symbol
_atom_site_fract_x
_atom_site_fract_y
_atom_site_fract_z
Ba1 Ba 0.5623 0.5623 0.1245
Ag1 Ag 0.2500 0.7500 0.5000
Ba2 Ba 0.8123 0.3123 0.6245
Ba3 Ba 0.4377 0.4377 0.8755
Ag2 Ag 0.0000 0.0000 0.0000
Ba4 Ba 0.6877 0.1877 0.3755
```

Results
Its energy relative to the elements is -0.09 eV per atom.

***

3.
Computed, not measured: an optimized crystal structure of PrAl22O34 at the PBEsol level of DFT.

```
data_PrAl22O34
_cell_length_a 5.6154
_cell_length_b 9.7231
_cell_length_c 11.7415
_cell_angle_alpha 105.61
_cell_angle_beta 90.00
_cell_angle_gamma 90.00
_space_group_name_H-M_alt 'P 1'
_space_group_IT_number 1
_space_group_name_Hall 'P 1'
loop_
_atom_site_label
_atom_site_type_symbol
_atom_site_fract_x
_atom_site_fract_y
_atom_site_fract_z
O1 O 0.5000 0.4068 0.7157
Al1 Al 0.7470 0.3472 0.7892
O2 O 0.0000 0.5906 0.2839
O3 O 0.5000 0.7032 0.1116
O4 O 0.7501 0.8449 0.2922
Al2 Al 0.5000 0.6499 0.9489
O5 O 0.2323 0.5453 0.9001
O6 O 0.2632 0.9552 0.0995
O7 O 0.0000 0.2031 0.1090
Al3 Al 0.0000 0.0544 0.6490
Al4 Al 0.0000 0.5994 0.7861
O8 O 0.0000 0.7977 0.8878
O9 O 0.7526 0.6553 0.7099
O10 O 0.7677 0.5453 0.9001
Al5 Al 0.0000 0.8486 0.0483
Al6 Al 0.7519 0.8457 0.7827
O11 O 0.2474 0.6553 0.7099
O12 O 0.5000 0.9079 0.7156
Al7 Al 0.2513 0.1500 0.2070
O13 O 0.0000 0.3134 0.8996
O14 O 0.2505 0.1584 0.7124
Al8 Al 0.2510 0.6546 0.2161
Pr1 Pr 0.0000 0.2969 0.4780
Al9 Al 0.5000 0.9975 0.9976
O15 O 0.5000 0.4775 0.5012
Al10 Al 0.5000 0.0974 0.7849
Al11 Al 0.7490 0.6546 0.2161
O16 O 0.5000 0.0928 0.2814
O17 O 0.0000 0.1011 0.2907
Al12 Al 0.5000 0.5517 0.6500
O18 O 0.5000 0.2976 0.8910
O19 O 0.7663 0.4523 0.1003
Al13 Al 0.2530 0.3472 0.7892
Al14 Al 0.5000 0.9021 0.2168
O20 O 0.2376 0.3409 0.2963
O21 O 0.5000 0.5909 0.2877
O22 O 0.2655 0.0460 0.9002
O23 O 0.7345 0.0460 0.9002
O24 O 0.0000 0.6893 0.1002
Al15 Al 0.0000 0.5014 0.0010
Al16 Al 0.0000 0.1498 0.9461
O25 O 0.2499 0.8449 0.2922
O26 O 0.7495 0.1584 0.7124
O27 O 0.7368 0.9552 0.0995
Al17 Al 0.5000 0.3509 0.0498
O28 O 0.0000 0.9043 0.7064
O29 O 0.0000 0.4044 0.7090
Al18 Al 0.0000 0.4018 0.2096
Al19 Al 0.5000 0.4468 0.3525
O30 O 0.5000 0.8103 0.9003
Al20 Al 0.2481 0.8457 0.7827
O31 O 0.5000 0.1911 0.1008
O32 O 0.7624 0.3409 0.2963
Al21 Al 0.7487 0.1500 0.2070
O33 O 0.2337 0.4523 0.1003
Al22 Al 0.0000 0.9494 0.3534
O34 O 0.0000 0.0535 0.4998
```

Results
The value obtained for the raw total energy is -7.81 eV/atom.

***

4.
Computed, not measured: an optimized crystal structure of ScOsSeBr2 at the PBEsol level of DFT.

```
data_ScOsSeBr2
_cell_length_a 5.1011
_cell_length_b 5.1011
_cell_length_c 5.1770
_cell_angle_alpha 90.00
_cell_angle_beta 90.00
_cell_angle_gamma 90.00
_space_group_name_H-M_alt 'P 1'
_space_group_IT_number 1
_space_group_name_Hall 'P 1'
loop_
_atom_site_label
_atom_site_type_symbol
_atom_site_fract_x
_atom_site_fract_y
_atom_site_fract_z
Br1 Br 0.5000 0.0000 0.0000
Sc1 Sc 0.0000 0.0000 0.0000
Br2 Br 0.0000 0.5000 0.0000
Se1 Se 0.0000 0.0000 0.5000
Os1 Os 0.5000 0.5000 0.5000
```

Results
The value obtained for the raw total energy is -4.71 eV/atom.

***

5.
Computed, not measured: an optimized crystal structure of LuScIr2 at the PBEsol level of DFT.

```
data_LuScIr2
_cell_length_a 4.5926
_cell_length_b 4.5926
_cell_length_c 4.5926
_cell_angle_alpha 60.00
_cell_angle_beta 60.00
_cell_angle_gamma 60.00
_space_group_name_H-M_alt 'P 1'
_space_group_IT_number 1
_space_group_name_Hall 'P 1'
loop_
_atom_site_label
_atom_site_type_symbol
_atom_site_fract_x
_atom_site_fract_y
_atom_site_fract_z
Lu1 Lu 0.0000 0.0000 0.0000
Sc1 Sc 0.5000 0.5000 0.5000
Ir1 Ir 0.2500 0.2500 0.2500
Ir2 Ir 0.7500 0.7500 0.7500
```

Results
Its energy relative to the elements is -0.97 eV per atom.

***

6.
Computed, not measured: an optimized crystal structure of HgSb2As at the PBEsol level of DFT.

```
data_HgSb2As
_cell_length_a 4.0961
_cell_length_b 4.0961
_cell_length_c 7.2637
_cell_angle_alpha 73.62
_cell_angle_beta 73.62
_cell_angle_gamma 60.00
_space_group_name_H-M_alt 'P 1'
_space_group_IT_number 1
_space_group_name_Hall 'P 1'
loop_
_atom_site_label
_atom_site_type_symbol
_atom_site_fract_x
_atom_site_fract_y
_atom_site_fract_z
Hg1 Hg 0.2442 0.2442 0.2675
Sb1 Sb 0.7560 0.7560 0.7320
As1 As 0.5016 0.5016 0.4952
Sb2 Sb 0.9982 0.9982 0.0053
```

Results
The value obtained for the raw total energy is -3.62 eV/atom.

***

7.
Computed, not measured: an optimized crystal structure of NaYZn2Ga at the PBEsol level of DFT.

```
data_NaYZn2Ga
_cell_length_a 4.7636
_cell_length_b 4.7636
_cell_length_c 5.3902
_cell_angle_alpha 90.00
_cell_angle_beta 90.00
_cell_angle_gamma 90.00
_space_group_name_H-M_alt 'P 1'
_space_group_IT_number 1
_space_group_name_Hall 'P 1'
loop_
_atom_site_label
_atom_site_type_symbol
_atom_site_fract_x
_atom_site_fract_y
_atom_site_fract_z
Zn1 Zn 0.0000 0.5000 0.0000
Y1 Y 0.0000 0.0000 0.5000
Zn2 Zn 0.5000 0.0000 0.0000
Ga1 Ga 0.0000 0.0000 0.0000
Na1 Na 0.5000 0.5000 0.5000
```

Results
Its energy relative to the elements is 0.26 eV per atom.

***

8.
Computed, not measured: an optimized crystal structure of HgP2Pd2 at the PBEsol level of DFT.

```
data_HgP2Pd2
_cell_length_a 4.3207
_cell_length_b 4.3207
_cell_length_c 5.3501
_cell_angle_alpha 113.82
_cell_angle_beta 113.82
_cell_angle_gamma 90.00
_space_group_name_H-M_alt 'P 1'
_space_group_IT_number 1
_space_group_name_Hall 'P 1'
loop_
_atom_site_label
_atom_site_type_symbol
_atom_site_fract_x
_atom_site_fract_y
_atom_site_fract_z
Pd1 Pd 0.7500 0.2500 0.5000
Hg1 Hg 0.0000 0.0000 0.0000
P1 P 0.3762 0.3762 0.7524
P2 P 0.6238 0.6238 0.2476
Pd2 Pd 0.2500 0.7500 0.5000
```

Results
Its energy relative to the elements is -0.18 eV per atom.

***

9.
Computed, not measured: an optimized crystal structure of Li5Fe3Ni2O10 at the PBEsol level of DFT.

```
data_Li5Fe3Ni2O10
_cell_length_a 4.9323
_cell_length_b 4.9040
_cell_length_c 7.7057
_cell_angle_alpha 69.86
_cell_angle_beta 69.88
_cell_angle_gamma 79.56
_space_group_name_H-M_alt 'P 1'
_space_group_IT_number 1
_space_group_name_Hall 'P 1'
loop_
_atom_site_label
_atom_site_type_symbol
_atom_site_fract_x
_atom_site_fract_y
_atom_site_fract_z
Ni1 Ni 0.0067 0.8966 0.6917
O1 O 0.7648 0.8660 0.5452
Fe1 Fe 0.9902 0.7035 0.1029
O2 O 0.2295 0.5400 0.6717
Li1 Li 0.0000 0.5000 0.5000
O3 O 0.2190 0.3512 0.0522
Ni2 Ni 0.9933 0.1034 0.3083
O4 O 0.2352 0.1340 0.4548
Li2 Li 0.4844 0.3890 0.2217
Fe2 Fe 0.5000 0.0000 0.0000
Li3 Li 0.5156 0.6110 0.7783
O5 O 0.7810 0.6488 0.9478
O6 O 0.2259 0.7667 0.2322
O7 O 0.2309 0.9481 0.8594
O8 O 0.7705 0.4600 0.3283
O9 O 0.7741 0.2333 0.7678
O10 O 0.7691 0.0519 0.1406
Li4 Li 0.4978 0.2063 0.5814
Li5 Li 0.5022 0.7937 0.4186
Fe3 Fe 0.0098 0.2965 0.8971
```

Results
The value obtained for the raw total energy is -6.53 eV/atom.

***

10.
Computed, not measured: an optimized crystal structure of Nb3Os at the PBEsol level of DFT.

```
data_Nb3Os
_cell_length_a 4.5327
_cell_length_b 4.5327
_cell_length_c 4.5327
_cell_angle_alpha 60.00
_cell_angle_beta 60.00
_cell_angle_gamma 60.00
_space_group_name_H-M_alt 'P 1'
_space_group_IT_number 1
_space_group_name_Hall 'P 1'
loop_
_atom_site_label
_atom_site_type_symbol
_atom_site_fract_x
_atom_site_fract_y
_atom_site_fract_z
Os1 Os 0.5000 0.5000 0.5000
Nb1 Nb 0.2500 0.2500 0.2500
Nb2 Nb 0.7500 0.7500 0.7500
Nb3 Nb 0.0000 0.0000 0.0000
```

Results
Its energy relative to the elements is -0.24 eV per atom.

***

11.
Computed, not measured: an optimized crystal structure of TiB2 at the PBEsol level of DFT.

```
data_TiB2
_cell_length_a 3.0214
_cell_length_b 3.0214
_cell_length_c 3.1847
_cell_angle_alpha 90.00
_cell_angle_beta 90.00
_cell_angle_gamma 120.00
_space_group_name_H-M_alt 'P 1'
_space_group_IT_number 1
_space_group_name_Hall 'P 1'
loop_
_atom_site_label
_atom_site_type_symbol
_atom_site_fract_x
_atom_site_fract_y
_atom_site_fract_z
B1 B 0.6667 0.3333 0.5000
B2 B 0.3333 0.6667 0.5000
Ti1 Ti 0.0000 0.0000 0.0000
```

Results
Its energy relative to the elements is -1.13 eV per atom.

***

12.
Computed, not measured: an optimized crystal structure of KAgAsSe2 at the PBEsol level of DFT.

```
data_KAgAsSe2
_cell_length_a 4.8621
_cell_length_b 5.2126
_cell_length_c 5.2126
_cell_angle_alpha 90.00
_cell_angle_beta 90.00
_cell_angle_gamma 90.00
_space_group_name_H-M_alt 'P 1'
_space_group_IT_number 1
_space_group_name_Hall 'P 1'
loop_
_atom_site_label
_atom_site_type_symbol
_atom_site_fract_x
_atom_site_fract_y
_atom_site_fract_z
Se1 Se 0.0000 0.0000 0.5000
Ag1 Ag 0.0000 0.0000 0.0000
As1 As 0.5000 0.0000 0.0000
Se2 Se 0.0000 0.5000 0.0000
K1 K 0.5000 0.5000 0.5000
```

Results
The value obtained for the raw total energy is -3.34 eV/atom.